! BaSiNi | the Alexandria database | PBE-GGA | optimized geometry; values from VASP
&SYSTEM
  ibrav = 0, nat = 3, ntyp = 3
/
ATOMIC_SPECIES
Ni 58.69 Ni.upf
Si 28.09 Si.upf
Ba 137.33 Ba.upf
CELL_PARAMETERS angstrom
-3.390 1.897 -3.277
2.583 -0.653 -3.051
-2.643 -2.878 1.067
ATOMIC_POSITIONS crystal
Ni 0.167 0.667 0.333
Si 0.167 0.000 0.000
Ba 0.667 0.333 0.667
! - crystal system = hexagonal

=====

! BaSi3Ni | the Alexandria database | PBE-GGA | optimized geometry; values from VASP
&SYSTEM
  ibrav = 0, nat = 10, ntyp = 3
/
ATOMIC_SPECIES
Si 28.09 Si.upf
Ba 137.33 Ba.upf
Ni 58.69 Ni.upf
CELL_PARAMETERS angstrom
5.866 0.276 0.000
2.404 5.358 0.000
0.000 0.000 6.126
ATOMIC_POSITIONS crystal
Si 0.002 0.761 0.302
Si 0.153 0.355 0.552
Si 0.559 0.204 0.302
Si 0.002 0.761 0.802
Si 0.408 0.610 0.052
Si 0.559 0.204 0.802
Ba 0.041 0.244 0.052
Ba 0.519 0.722 0.552
Ni 0.665 0.867 0.052
Ni 0.896 0.098 0.552
! - crystal system = orthorhombic

=====

! Ba2SiNi | the Alexandria database | PBE-GGA | optimized geometry; values from VASP
&SYSTEM
  ibrav = 0, nat = 4, ntyp = 3
/
ATOMIC_SPECIES
Ni 58.69 Ni.upf
Ba 137.33 Ba.upf
Si 28.09 Si.upf
CELL_PARAMETERS angstrom
-0.907 4.083 1.339
0.658 -1.466 4.917
5.559 0.534 2.137
ATOMIC_POSITIONS crystal
Ni 0.000 0.653 0.569
Ba 0.000 0.974 0.927
Ba 0.500 0.278 0.319
Si 0.500 0.595 0.685
! - crystal system = orthorhombic

=====

! BaSi3Ni | the Alexandria database | PBE-GGA | optimized geometry; values from VASP
&SYSTEM
  ibrav = 0, nat = 5, ntyp = 3
/
ATOMIC_SPECIES
Ba 137.33 Ba.upf
Si 28.09 Si.upf
Ni 58.69 Ni.upf
CELL_PARAMETERS angstrom
4.691 0.000 0.000
0.000 4.691 0.000
0.000 0.000 4.691
ATOMIC_POSITIONS crystal
Ba 0.500 0.500 0.500
Si 0.000 0.000 0.500
Si 0.000 0.500 0.000
Si 0.500 0.000 0.000
Ni 0.000 0.000 0.000
! - crystal system = cubic

=====

! BaSi4Ni2 | the Alexandria database | PBE-GGA | optimized geometry; values from VASP
&SYSTEM
  ibrav = 0, nat = 7, ntyp = 3
/
ATOMIC_SPECIES
Si 28.09 Si.upf
Ba 137.33 Ba.upf
Ni 58.69 Ni.upf
CELL_PARAMETERS angstrom
-6.333 -2.835 2.179
1.069 -3.837 2.197
0.034 1.057 4.491
ATOMIC_POSITIONS crystal
Si 0.351 0.936 0.424
Si 0.600 0.664 0.066
Si 0.649 0.064 0.576
Si 0.400 0.336 0.934
Ba 0.000 0.000 0.000
Ni 0.643 0.569 0.578
Ni 0.357 0.431 0.422
! - crystal system = triclinic

=====

! Ba4Si2Ni | the Alexandria database | PBE-GGA | optimized geometry; values from VASP
&SYSTEM
  ibrav = 0, nat = 7, ntyp = 3
/
ATOMIC_SPECIES
Ba 137.33 Ba.upf
Si 28.09 Si.upf
Ni 58.69 Ni.upf
CELL_PARAMETERS angstrom
6.236 0.000 0.000
0.000 6.236 0.000
3.118 3.118 7.395
ATOMIC_POSITIONS crystal
Ba 0.000 0.500 0.000
Ba 0.798 0.798 0.404
Ba 0.500 0.000 0.000
Ba 0.202 0.202 0.596
Si 0.585 0.585 0.829
Si 0.415 0.415 0.171
Ni 0.000 0.000 0.000
! - crystal system = tetragonal

=====

! Ba2SiNi | the Alexandria database | PBE-GGA | optimized geometry; values from VASP
&SYSTEM
  ibrav = 0, nat = 4, ntyp = 3
/
ATOMIC_SPECIES
Ba 137.33 Ba.upf
Si 28.09 Si.upf
Ni 58.69 Ni.upf
CELL_PARAMETERS angstrom
-6.443 0.652 -6.027
-6.667 -3.451 -4.679
-8.521 -0.308 -2.357
ATOMIC_POSITIONS crystal
Ba 0.992 0.992 0.992
Ba 0.508 0.508 0.508
Si 0.750 0.750 0.750
Ni 0.250 0.250 0.250
! - crystal system = trigonal

=====

! Ba2SiNi | the Alexandria database | PBE-GGA | optimized geometry; values from VASP
&SYSTEM
  ibrav = 0, nat = 8, ntyp = 3
/
ATOMIC_SPECIES
Si 28.09 Si.upf
Ba 137.33 Ba.upf
Ni 58.69 Ni.upf
CELL_PARAMETERS angstrom
-0.601 -0.434 8.552
6.154 -5.983 0.129
5.107 -0.805 4.627
ATOMIC_POSITIONS crystal
Si 0.500 0.500 0.000
Si 0.250 0.750 0.500
Ba 0.875 0.917 0.750
Ba 0.083 0.625 0.250
Ba 0.667 0.125 0.250
Ba 0.375 0.333 0.750
Ni 0.750 0.250 0.500
Ni 0.000 0.000 0.000
! - crystal system = tetragonal

=====

no.,E_form (uncorrected) (eV per atom)
1,-0.306
2,-0.365
3,-0.256
4,0.128
5,-0.250
6,0.011
7,0.279
8,0.359